Entry from Alexandria: a relaxed BaGaClO2 crystal (PBE-GGA).

ΔE_f (raw): -2.17 eV per atom
Total magnetic moment: 0.000 μB/cell
Final energy: -110.2 eV for the cell shown
N(E_F): 0.0 states/eV per cell

Unit cell a=6.083 b=12.655 c=5.593 alpha=90.00 beta=90.00 gamma=90.00
Space group Cmcm (No. 63)
One atom of each set of equivalent atoms:
Ba  0.000  0.125  0.250 x4
Ga  0.000  0.497  0.750 x4
Cl  0.000  0.270  0.750 x4
O  0.215  0.500  0.000 x8

Entry from Alexandria: a relaxed BaGaPCl2 crystal (PBE-GGA).

ΔE_f (raw): -0.52 eV per atom
Total magnetic moment: 2.000 μB/cell
Final energy: -16.7 eV for the cell shown
Offset from the most stable computed form: 496 meV/atom
N(E_F): 2.8 states/eV per cell

Unit cell a=5.928 b=5.928 c=6.410 alpha=90.00 beta=90.00 gamma=90.00
Space group P4/mmm (No. 123)
One atom of each set of equivalent atoms:
Ba  0.000  0.000  0.000 x1
Ga  0.500  0.500  0.500 x1
P  0.000  0.000  0.500 x1
Cl  0.000  0.500  0.000 x2

Entry from Alexandria: a relaxed BaGaPCl2 crystal (PBE-GGA).

ΔE_f (raw): -1.02 eV per atom
Total magnetic moment: 0.191 μB/cell
Final energy: -19.1 eV for the cell shown
Offset from the most stable computed form: 0 meV/atom
N(E_F): 3.9 states/eV per cell

Unit cell a=5.168 b=5.168 c=4.809 alpha=90.00 beta=90.00 gamma=90.00
Space group P4/mmm (No. 123)
One atom of each set of equivalent atoms:
Ba  0.000  0.000  0.000 x1
Ga  0.500  0.500  0.500 x1
P  0.500  0.500  0.000 x1
Cl  0.000  0.500  0.500 x2

Entry from Alexandria: a relaxed BaPaGa2Cl8 crystal (PBE-GGA).

ΔE_f (raw): -1.64 eV per atom
Total magnetic moment: 1.005 μB/cell
Final energy: -51.9 eV for the cell shown
N(E_F): 0.6 states/eV per cell

Unit cell a=6.948 b=9.048 c=6.962 alpha=90.00 beta=91.97 gamma=90.00
Space group P2/m (No. 10)
One atom of each set of equivalent atoms:
Ba  0.000  0.000  0.000 x1
Pa  0.000  0.500  0.000 x1
Ga  0.500  0.232  0.500 x2
Cl  0.150  0.281  0.789 x4
Cl  0.306  0.500  0.226 x2
Cl  0.346  0.000  0.286 x2

Entry from Alexandria: a relaxed Rb2BaGaCl6 crystal (PBE-GGA).

ΔE_f (raw): -1.70 eV per atom
Total magnetic moment: 1.907 μB/cell
Final energy: -70.0 eV for the cell shown
N(E_F): 2.9 states/eV per cell

Unit cell a=7.925 b=7.925 c=11.197 alpha=90.00 beta=90.00 gamma=90.00
Space group I4/mmm (No. 139)
One atom of each set of equivalent atoms:
Rb  0.000  0.500  0.250 x4
Ba  0.000  0.000  0.000 x2
Ga  0.000  0.000  0.500 x2
Cl  0.000  0.000  0.268 x4
Cl  0.232  0.232  0.500 x8

Entry from Alexandria: a relaxed RbBaGaCl6 crystal (PBE-GGA).

ΔE_f (raw): -1.68 eV per atom
Total magnetic moment: 0.000 μB/cell
Final energy: -32.1 eV for the cell shown
N(E_F): 0.0 states/eV per cell

Unit cell a=7.3518 b=7.3518 c=6.3182 alpha=90.00 beta=90.00 gamma=120.00
Space group P312 (No. 149)
One atom of each set of equivalent atoms:
Rb  0.0000  0.0000  0.0000 x1
Ba  0.3333  0.6667  0.5000 x1
Ga  0.6667  0.3333  0.0000 x1
Cl  0.4103  0.0573  0.7744 x6

Entry from Alexandria: a relaxed RbBa3Ga5Se10Cl2 crystal (PBE-GGA).

ΔE_f (raw): -1.27 eV per atom
Total magnetic moment: 0.000 μB/cell
Final energy: -87.1 eV for the cell shown
N(E_F): 0.0 states/eV per cell

Unit cell a=8.809 b=8.928 c=10.015 alpha=116.40 beta=115.08 gamma=90.11
Space group P1 (No. 1)
One atom of each set of equivalent atoms:
Rb  0.000  0.000  0.000 x1
Ba  0.147  0.877  0.541 x1
Ba  0.258  0.522  0.998 x1
Ba  0.625  0.159  0.540 x1
Ga  0.032  0.386  0.433 x1
Ga  0.514  0.649  0.769 x1
Ga  0.579  0.126  0.105 x1
Ga  0.656  0.584  0.441 x1
Ga  0.760  0.497  0.087 x1
Se  0.050  0.469  0.236 x1
Se  0.311  0.371  0.622 x1
Se  0.380  0.843  0.924 x1
Se  0.445  0.310  0.267 x1
Se  0.547  0.225  0.906 x1
Se  0.551  0.787  0.620 x1
Se  0.675  0.717  0.279 x1
Se  0.789  0.579  0.897 x1
Se  0.850  0.103  0.296 x1
Se  0.952  0.606  0.627 x1
Cl  0.006  0.156  0.756 x1
Cl  0.266  0.889  0.286 x1

Entry from Alexandria: a relaxed BaGaS2Cl crystal (PBE-GGA).

ΔE_f (raw): -0.31 eV per atom
Total magnetic moment: 2.021 μB/cell
Final energy: -16.6 eV for the cell shown
Offset from the most stable computed form: 942 meV/atom
N(E_F): 8.8 states/eV per cell

Unit cell a=6.016 b=6.016 c=5.961 alpha=90.00 beta=90.00 gamma=90.00
Space group P4/mmm (No. 123)
One atom of each set of equivalent atoms:
Ba  0.000  0.000  0.000 x1
Ga  0.500  0.500  0.500 x1
S  0.000  0.500  0.000 x2
Cl  0.000  0.000  0.500 x1

Entry from Alexandria: a relaxed Ba3GaS4Cl crystal (PBE-GGA).

ΔE_f (raw): -1.84 eV per atom
Total magnetic moment: 0.000 μB/cell
Final energy: -174.9 eV for the cell shown
N(E_F): 0.0 states/eV per cell

Unit cell a=12.468 b=9.656 c=8.564 alpha=90.00 beta=90.00 gamma=90.00
Space group Pnma (No. 62)
One atom of each set of equivalent atoms:
Ba  0.019  0.250  0.084 x4
Ba  0.168  0.020  0.584 x8
Ga  0.107  0.750  0.311 x4
S  0.007  0.750  0.536 x4
S  0.074  0.548  0.188 x8
S  0.213  0.250  0.862 x4
Cl  0.229  0.750  0.835 x4

Entry from Alexandria: a relaxed BaGaS2Cl crystal (PBE-GGA).

ΔE_f (raw): -1.25 eV per atom
Total magnetic moment: 0.000 μB/cell
Final energy: -21.3 eV for the cell shown
Offset from the most stable computed form: 0 meV/atom
N(E_F): 1.8 states/eV per cell

Unit cell a=4.858 b=4.858 c=5.096 alpha=90.00 beta=90.00 gamma=90.00
Space group P4/mmm (No. 123)
One atom of each set of equivalent atoms:
Ba  0.000  0.000  0.000 x1
Ga  0.500  0.500  0.500 x1
S  0.000  0.500  0.500 x2
Cl  0.500  0.500  0.000 x1

Entry from Alexandria: a relaxed BaGa2SbCl crystal (PBE-GGA).

ΔE_f (raw): -0.25 eV per atom
Total magnetic moment: 0.000 μB/cell
Final energy: -15.2 eV for the cell shown
N(E_F): 3.3 states/eV per cell

Unit cell a=5.260 b=5.260 c=6.533 alpha=90.00 beta=90.00 gamma=90.00
Space group P4/mmm (No. 123)
One atom of each set of equivalent atoms:
Ba  0.000  0.000  0.000 x1
Ga  0.000  0.500  0.500 x2
Sb  0.500  0.500  0.500 x1
Cl  0.500  0.500  0.000 x1

Entry from Alexandria: a relaxed BaGaSb2Cl crystal (PBE-GGA).

ΔE_f (raw): 0.74 eV per atom
Total magnetic moment: 1.999 μB/cell
Final energy: -11.4 eV for the cell shown
N(E_F): 6.7 states/eV per cell

Unit cell a=6.339 b=6.339 c=6.855 alpha=90.00 beta=90.00 gamma=90.00
Space group P4/mmm (No. 123)
One atom of each set of equivalent atoms:
Ba  0.000  0.000  0.000 x1
Ga  0.000  0.000  0.500 x1
Sb  0.000  0.500  0.000 x2
Cl  0.500  0.500  0.500 x1

Which formula does entry 10 have? BaGaS2Cl

Among the records above, which one has the highest N(E_F)? number 8

Which value of total magnetic moment does entry 1 give? 0.000 μB/cell